The following is a GGA-PBE calculation of a relaxed Dy2PuSnC crystal, from the Alexandria database.

abc: 4.9348 4.9348 4.7786
angles: 90.00 90.00 90.00
Fractional coordinates of all 5 atoms:
Dy (0.0000, 0.5000, 0.0000)
Dy (0.5000, 0.0000, 0.0000)
Pu (0.0000, 0.0000, 0.5000)
Sn (0.5000, 0.5000, 0.5000)
C (0.0000, 0.0000, 0.0000)

The spin magnetization is 5.738 μB per formula unit. Its space group is No. 123. Its formation energy is -0.482 eV per atom. Its crystal system is tetragonal. The value obtained for the total energy is -7.8344 eV per atom.